# PBE Ce3PmTl3, optimized geometry
# Calculated formation energy, eV/atom: -0.129
# Total magnetization, μB per atom: 0.47
data_Ce3PmTl3
_cell_length_a 9.6173
_cell_length_b 9.6173
_cell_length_c 5.1066
_cell_angle_alpha 90.00
_cell_angle_beta 90.00
_cell_angle_gamma 120.00
_symmetry_space_group_name_H-M 'P 63/m'
_symmetry_Int_Tables_number 176
_symmetry_space_group_name_Hall '-P 6c'
loop_
_atom_site_label
_atom_site_type_symbol
_atom_site_fract_x
_atom_site_fract_y
_atom_site_fract_z
Ce1 Ce 0.0026 0.2246 0.2500
Pm1 Pm 0.3333 0.6667 0.2500
Tl1 Tl 0.0714 0.4565 0.7500